--- a ---
First-principles (GGA-PBE) data for a relaxed structure of Hg2BiO, as listed in the Alexandria database.

abc: 7.0654 7.0654 7.0654
angles: 90.00 90.00 90.00
Last column: nearest neighbours and their distance in Å.
Atoms (fractional coordinates):
Hg 0.2500 0.2500 0.2500  4 O 3.06, 4 Bi 3.06
Hg 0.2500 0.2500 0.7500  4 O 3.06, 4 Bi 3.06
Hg 0.2500 0.7500 0.2500  4 O 3.06, 4 Bi 3.06
Hg 0.2500 0.7500 0.7500  4 O 3.06, 4 Bi 3.06
Hg 0.7500 0.2500 0.2500  4 O 3.06, 4 Bi 3.06
Hg 0.7500 0.2500 0.7500  4 O 3.06, 4 Bi 3.06
Hg 0.7500 0.7500 0.2500  4 O 3.06, 4 Bi 3.06
Hg 0.7500 0.7500 0.7500  4 Bi 3.06, 4 O 3.06
Bi 0.0000 0.0000 0.0000  8 Hg 3.06
Bi 0.0000 0.5000 0.5000  8 Hg 3.06
Bi 0.5000 0.0000 0.5000  8 Hg 3.06
Bi 0.5000 0.5000 0.0000  8 Hg 3.06
O 0.0000 0.0000 0.5000  8 Hg 3.06
O 0.0000 0.5000 0.0000  8 Hg 3.06
O 0.5000 0.0000 0.0000  8 Hg 3.06
O 0.5000 0.5000 0.5000  8 Hg 3.06

Results
Space group: No. 225
Magnetization (μB/cell): 0.00
Crystal system: cubic

=====

--- b ---
First-principles (GGA-PBE) data for a relaxed structure of Hg2BiO, as listed in the Alexandria database.

abc: 7.0014 7.0014 7.7507
angles: 90.00 90.00 90.00
Last column: nearest neighbours and their distance in Å.
Atoms (fractional coordinates):
Hg 0.1708 0.2500 0.1250  2 O 2.33
Hg 0.2500 0.6708 0.3750  2 O 2.33
Hg 0.2500 0.8292 0.8750  2 O 2.33
Hg 0.3292 0.2500 0.6250  2 O 2.33
Hg 0.6708 0.7500 0.6250  2 O 2.33
Hg 0.7500 0.1708 0.8750  2 O 2.33
Hg 0.7500 0.3292 0.3750  2 O 2.33
Hg 0.8292 0.7500 0.1250  2 O 2.33
Bi 0.0000 0.0000 0.5000  4 Hg 3.05
Bi 0.0000 0.5000 0.7500  4 Hg 3.05
Bi 0.5000 0.0000 0.2500  4 Hg 3.05
Bi 0.5000 0.5000 0.0000  4 Hg 3.05
O 0.0000 0.0000 0.0000  4 Hg 2.33
O 0.0000 0.5000 0.2500  4 Hg 2.33
O 0.5000 0.0000 0.7500  4 Hg 2.33
O 0.5000 0.5000 0.5000  4 Hg 2.33

Results
Space group: No. 122
Magnetization (μB/cell): 0.00
Crystal system: tetragonal

=====

Stability, highest: b

=====

--- a ---
First-principles (GGA-PBE) data for a relaxed structure of Hg3BiO, as listed in the Alexandria database.

abc: 4.8995 4.8995 4.8995
angles: 90.00 90.00 90.00
Last column: nearest neighbours and their distance in Å.
Atoms (fractional coordinates):
Hg 0.0000 0.0000 0.5000  2 O 2.45
Hg 0.0000 0.5000 0.0000  2 O 2.45
Hg 0.5000 0.0000 0.0000  2 O 2.45
Bi 0.5000 0.5000 0.5000  12 Hg 3.46
O 0.0000 0.0000 0.0000  6 Hg 2.45

Results
Space group: No. 221
Magnetization (μB/cell): 0.00
Crystal system: cubic

=====

--- b ---
First-principles (GGA-PBE) data for a relaxed structure of Hg3BiO, as listed in the Alexandria database.

abc: 5.8921 5.8921 5.8921
angles: 90.00 90.00 90.00
Last column: nearest neighbours and their distance in Å.
Atoms (fractional coordinates):
Hg 0.0000 0.0000 0.5000  2 Bi 2.95
Hg 0.0000 0.5000 0.0000  2 Bi 2.95
Hg 0.5000 0.0000 0.0000  2 Bi 2.95
Bi 0.0000 0.0000 0.0000  6 Hg 2.95
O 0.5000 0.5000 0.5000  12 Hg 4.17

Results
Space group: No. 221
Magnetization (μB/cell): 0.00
Crystal system: cubic

=====

Stability, highest: a

=====

--- a ---
First-principles (GGA-PBE) data for a relaxed structure of HgBiPO2, as listed in the Alexandria database.

abc: 4.1527 4.1527 5.6633
angles: 90.00 90.00 90.00
Last column: nearest neighbours and their distance in Å.
Atoms (fractional coordinates):
Hg 0.0000 0.0000 0.0000  4 P 2.94
Bi 0.5000 0.5000 0.5000  4 O 2.08
P 0.5000 0.5000 0.0000  2 Bi 2.83, 4 Hg 2.94
O 0.0000 0.5000 0.5000  2 Bi 2.08
O 0.5000 0.0000 0.5000  2 Bi 2.08

Results
Space group: No. 123
Magnetization (μB/cell): 0.00
Crystal system: tetragonal

=====

--- b ---
First-principles (GGA-PBE) data for a relaxed structure of HgBiPO2, as listed in the Alexandria database.

abc: 4.2599 4.2599 4.9951
angles: 90.00 90.00 90.00
Last column: nearest neighbours and their distance in Å.
Atoms (fractional coordinates):
Hg 0.0000 0.0000 0.0000  4 O 2.13
Bi 0.5000 0.5000 0.5000  4 P 3.01, 8 O 3.28
P 0.0000 0.0000 0.5000  2 Hg 2.50
O 0.0000 0.5000 0.0000  2 Hg 2.13
O 0.5000 0.0000 0.0000  2 Hg 2.13

Results
Space group: No. 123
Magnetization (μB/cell): 0.00
Crystal system: tetragonal

=====

Stability, highest: a